# 1
An optimized crystal structure of Cu2TcRu. Source: Alexandria via LeMat-Bulk, functional PBE.

Cell: 3.6160 3.6137 4.0719 Å, 90.00 90.00 90.00°
Element x y z (fractional)
Cu 0.0000 0.0000 0.0000
Cu 0.5000 0.5000 0.0000
Tc 0.0000 0.5000 0.5000
Ru 0.5000 0.0000 0.5000

Summary:
polymorph energy (0 for the lowest one) = 0.76 eV per formula unit
E_tot = -6.6412 eV/atom
total moment = 0.0000 μB/atom
space group = P4/mmm (123)

# 2
An optimized crystal structure of Cu2TcRu. Source: Alexandria via LeMat-Bulk, functional PBE.

Cell: 4.5731 4.5731 4.6105 Å, 80.79 80.79 33.96°
Element x y z (fractional)
Cu 0.0025 0.0025 0.9778
Cu 0.7493 0.7493 0.7726
Ru 0.4985 0.4985 0.4788
Tc 0.2497 0.2497 0.2708

Summary:
polymorph energy (0 for the lowest one) = 0.27 eV per formula unit
E_tot = -6.7631 eV/atom
total moment = 0.0000 μB/atom
space group = Cm (8)

# 3
An optimized crystal structure of CuTc2Ru. Source: Alexandria via LeMat-Bulk, functional PBE.

Cell: 4.6984 4.6984 4.6613 Å, 80.80 80.80 33.34°
Element x y z (fractional)
Tc 0.9967 0.9967 0.0028
Tc 0.7464 0.7464 0.7511
Ru 0.2564 0.2564 0.2463
Cu 0.5005 0.5005 0.4997

Summary:
polymorph energy (0 for the lowest one) = 0.16 eV per formula unit
E_tot = -8.3362 eV/atom
total moment = 0.0000 μB/atom
space group = Cm (8)

Question: Which value of polymorph energy (0 for the lowest one) does entry 1 give?
Answer: 0.76 eV per formula unit